1.
# MnSi3Pt, single point on PBEsol structure, DFT SCAN
data_MnSi3Pt
_chemical_formula_sum 'Mn1 Si3 Pt1'
_symmetry_space_group_name_H-M 'P 1'
_symmetry_Int_Tables_number 1
_cell_length_a 4.2754
_cell_length_b 4.2754
_cell_length_c 4.2754
_cell_angle_alpha 90.00
_cell_angle_beta 90.00
_cell_angle_gamma 90.00
loop_
_symmetry_equiv_pos_as_xyz
'x,y,z'
loop_
_atom_site_label
_atom_site_type_symbol
_atom_site_fract_x
_atom_site_fract_y
_atom_site_fract_z
Mn1 Mn 0.0000 0.0000 0.0000
Si1 Si 0.0000 0.0000 0.5000
Si2 Si 0.0000 0.5000 0.0000
Si3 Si 0.5000 0.0000 0.0000
Pt1 Pt 0.5000 0.5000 0.5000
# final energy = -23.270 eV per atom
# space group = Pm-3m, No. 221
# E_form (uncorrected) = 0.4292 eV per atom
# magnetic moment = 0.56 Bohr magnetons per cell

2.
# MnSiPt2, single point on PBEsol structure, DFT SCAN
data_MnSiPt2
_chemical_formula_sum 'Mn1 Si1 Pt2'
_symmetry_space_group_name_H-M 'P 1'
_symmetry_Int_Tables_number 1
_cell_length_a 2.7597
_cell_length_b 2.7597
_cell_length_c 6.9486
_cell_angle_alpha 90.00
_cell_angle_beta 90.00
_cell_angle_gamma 90.00
loop_
_symmetry_equiv_pos_as_xyz
'x,y,z'
loop_
_atom_site_label
_atom_site_type_symbol
_atom_site_fract_x
_atom_site_fract_y
_atom_site_fract_z
Mn1 Mn 0.0000 0.0000 0.0000
Si1 Si 0.5000 0.5000 0.7931
Pt1 Pt 0.0000 0.0000 0.5635
Pt2 Pt 0.5000 0.5000 0.2535
# final energy = -42.638 eV per atom
# space group = P4mm, No. 99
# E_form (uncorrected) = -0.4739 eV per atom
# magnetic moment = 3.13 Bohr magnetons per cell

3.
# MnSi2Pt, single point on PBEsol structure, DFT SCAN
data_MnSi2Pt
_chemical_formula_sum 'Mn1 Si2 Pt1'
_symmetry_space_group_name_H-M 'P 1'
_symmetry_Int_Tables_number 1
_cell_length_a 2.6710
_cell_length_b 2.6710
_cell_length_c 7.3545
_cell_angle_alpha 90.00
_cell_angle_beta 90.00
_cell_angle_gamma 90.00
loop_
_symmetry_equiv_pos_as_xyz
'x,y,z'
loop_
_atom_site_label
_atom_site_type_symbol
_atom_site_fract_x
_atom_site_fract_y
_atom_site_fract_z
Mn1 Mn 0.0000 0.0000 0.0000
Si1 Si 0.0000 0.0000 0.5084
Si2 Si 0.5000 0.5000 0.7858
Pt1 Pt 0.5000 0.5000 0.2614
# final energy = -27.266 eV per atom
# space group = P4mm, No. 99
# E_form (uncorrected) = -0.1464 eV per atom
# magnetic moment = 3.12 Bohr magnetons per cell

4.
# MnSnPt, single point on PBEsol structure, DFT SCAN
data_MnSnPt
_chemical_formula_sum 'Mn1 Sn1 Pt1'
_symmetry_space_group_name_H-M 'P 1'
_symmetry_Int_Tables_number 1
_cell_length_a 4.3210
_cell_length_b 4.3210
_cell_length_c 4.3210
_cell_angle_alpha 60.00
_cell_angle_beta 60.00
_cell_angle_gamma 60.00
loop_
_symmetry_equiv_pos_as_xyz
'x,y,z'
loop_
_atom_site_label
_atom_site_type_symbol
_atom_site_fract_x
_atom_site_fract_y
_atom_site_fract_z
Mn1 Mn 0.0000 0.0000 0.0000
Sn1 Sn 0.5000 0.5000 0.5000
Pt1 Pt 0.7500 0.7500 0.7500
# final energy = -42.124 eV per atom
# space group = F-43m, No. 216
# ΔH_f (0 K) = -0.67 eV per atom
# magnetic moment = 3.94 Bohr magnetons per cell

5.
# Sr2MnPt, single point on PBEsol structure, DFT SCAN
data_Sr2MnPt
_chemical_formula_sum 'Sr2 Mn1 Pt1'
_symmetry_space_group_name_H-M 'P 1'
_symmetry_Int_Tables_number 1
_cell_length_a 6.3893
_cell_length_b 6.3893
_cell_length_c 6.3893
_cell_angle_alpha 145.65
_cell_angle_beta 133.03
_cell_angle_gamma 59.47
loop_
_symmetry_equiv_pos_as_xyz
'x,y,z'
loop_
_atom_site_label
_atom_site_type_symbol
_atom_site_fract_x
_atom_site_fract_y
_atom_site_fract_z
Sr1 Sr 0.0000 0.0000 0.0000
Sr2 Sr 0.7070 0.2070 0.5000
Mn1 Mn 0.3091 0.8091 0.5000
Pt1 Pt 0.4559 0.4559 0.0000
# final energy = -33.627 eV per atom
# space group = Imm2, No. 44
# ΔH_f (0 K) = -0.38 eV per atom
# magnetic moment = 4.21 Bohr magnetons per cell

6.
# TaMn3Pt, single point on PBEsol structure, DFT SCAN
data_TaMn3Pt
_chemical_formula_sum 'Ta1 Mn3 Pt1'
_symmetry_space_group_name_H-M 'P 1'
_symmetry_Int_Tables_number 1
_cell_length_a 4.6354
_cell_length_b 4.6354
_cell_length_c 4.6354
_cell_angle_alpha 90.00
_cell_angle_beta 90.00
_cell_angle_gamma 90.00
loop_
_symmetry_equiv_pos_as_xyz
'x,y,z'
loop_
_atom_site_label
_atom_site_type_symbol
_atom_site_fract_x
_atom_site_fract_y
_atom_site_fract_z
Ta1 Ta 0.0000 0.0000 0.0000
Mn1 Mn 0.0000 0.5000 0.5000
Mn2 Mn 0.5000 0.0000 0.5000
Mn3 Mn 0.5000 0.5000 0.0000
Pt1 Pt 0.5000 0.5000 0.5000
# final energy = -37.528 eV per atom
# space group = Pm-3m, No. 221
# ΔH_f (0 K) = 0.78 eV per atom
# magnetic moment = 10.23 Bohr magnetons per cell

7.
# TaMn2Pt, single point on PBEsol structure, DFT SCAN
data_TaMn2Pt
_chemical_formula_sum 'Ta1 Mn2 Pt1'
_symmetry_space_group_name_H-M 'P 1'
_symmetry_Int_Tables_number 1
_cell_length_a 3.8648
_cell_length_b 3.8648
_cell_length_c 3.6229
_cell_angle_alpha 90.00
_cell_angle_beta 90.00
_cell_angle_gamma 90.00
loop_
_symmetry_equiv_pos_as_xyz
'x,y,z'
loop_
_atom_site_label
_atom_site_type_symbol
_atom_site_fract_x
_atom_site_fract_y
_atom_site_fract_z
Ta1 Ta 0.0000 0.0000 0.0000
Mn1 Mn 0.0000 0.5000 0.5000
Mn2 Mn 0.5000 0.0000 0.5000
Pt1 Pt 0.5000 0.5000 0.0000
# final energy = -43.839 eV per atom
# space group = P4/mmm, No. 123
# ΔH_f (0 K) = -0.52 eV per atom
# magnetic moment = 4.84 Bohr magnetons per cell
# distance to the lowest polymorph of the same formula = 0 meV/atom

8.
# TaMn2Pt, single point on PBEsol structure, DFT SCAN
data_TaMn2Pt
_chemical_formula_sum 'Ta1 Mn2 Pt1'
_symmetry_space_group_name_H-M 'P 1'
_symmetry_Int_Tables_number 1
_cell_length_a 8.8054
_cell_length_b 8.8054
_cell_length_c 8.8054
_cell_angle_alpha 18.24
_cell_angle_beta 18.24
_cell_angle_gamma 18.24
loop_
_symmetry_equiv_pos_as_xyz
'x,y,z'
loop_
_atom_site_label
_atom_site_type_symbol
_atom_site_fract_x
_atom_site_fract_y
_atom_site_fract_z
Ta1 Ta 0.0000 0.0000 0.0000
Mn1 Mn 0.2487 0.2487 0.2487
Mn2 Mn 0.7513 0.7513 0.7513
Pt1 Pt 0.5000 0.5000 0.5000
# final energy = -43.473 eV per atom
# space group = R-3m, No. 166
# ΔH_f (0 K) = -0.15 eV per atom
# magnetic moment = 7.24 Bohr magnetons per cell
# distance to the lowest polymorph of the same formula = 366 meV/atom

magnetic moment of number 4 (MnSnPt)?
3.94 Bohr magnetons per cell